This record from Alexandria describes an optimized crystal structure of YCrN2F. The functional is PBE with a Hubbard U.

As for the total energy: -6.679 eV/atom. The space group is P4/mmm, No. 123.

Structure (extended XYZ):
```
5
Lattice="4.4998 0.0000 0.0000 0.0000 4.4998 0.0000 0.0000 0.0000 4.2586" Properties=species:S:1:pos:R:3 pbc="T T T"
Y 0.0000 0.0000 0.0000
Cr 2.2499 2.2499 2.1293
N 0.0000 2.2499 0.0000
N 2.2499 0.0000 0.0000
F 0.0000 0.0000 2.1293
```